Record 1
Compound: Ni2RuCl
Source: the Alexandria database
Functional: PBE-GGA
Structure: relaxed Values from VASP.

The crystal system is monoclinic. The energy relative to the elements, uncorrected comes out at 1.996 eV per formula unit. As for the space group: Pm. For the density of states at the Fermi level, the calculation gives 1.46 states/eV per atom.

Geometry as Quantum ESPRESSO input:
```
&SYSTEM
  ibrav = 0, nat = 4, ntyp = 3
/
ATOMIC_SPECIES
Ni 58.69 Ni.upf
Ru 101.07 Ru.upf
Cl 35.45 Cl.upf
CELL_PARAMETERS angstrom
2.7732 0.0000 0.0000
0.0000 3.7087 0.0000
-1.3793 0.0000 5.5750
ATOMIC_POSITIONS crystal
Ni 0.0000 0.0000 0.0000
Ni 0.1247 0.5000 0.2521
Ru 0.4198 0.5000 0.8385
Cl 0.2588 0.0000 0.5122
```

Record 2
Compound: LiPm6Ge3
Source: the Alexandria database
Functional: PBE-GGA
Structure: relaxed Values from VASP.

The crystal system is orthorhombic. As for the space group: Cmcm. As for the formation enthalpy at 0 K: -528.3 meV/atom. For the density of states at the Fermi level, the calculation gives 0.69 states/eV per atom.

Geometry as Quantum ESPRESSO input:
```
&SYSTEM
  ibrav = 0, nat = 20, ntyp = 3
/
ATOMIC_SPECIES
Li 6.94 Li.upf
Pm 145.00 Pm.upf
Ge 72.64 Ge.upf
CELL_PARAMETERS angstrom
5.7944 -5.6447 0.0000
5.7944 5.6447 0.0000
0.0000 0.0000 8.3922
ATOMIC_POSITIONS crystal
Li 0.1089 0.8911 0.7500
Li 0.8911 0.1089 0.2500
Pm 0.0023 0.4828 0.7500
Pm 0.1735 0.1735 0.0000
Pm 0.1735 0.1735 0.5000
Pm 0.3429 0.6571 0.0058
Pm 0.3429 0.6571 0.4942
Pm 0.4828 0.0023 0.2500
Pm 0.5172 0.9977 0.7500
Pm 0.6571 0.3429 0.5058
Pm 0.6571 0.3429 0.9942
Pm 0.8265 0.8265 0.0000
Pm 0.8265 0.8265 0.5000
Pm 0.9977 0.5172 0.2500
Ge 0.1320 0.8680 0.2500
Ge 0.3562 0.3667 0.2500
Ge 0.3667 0.3562 0.7500
Ge 0.6333 0.6438 0.2500
Ge 0.6438 0.6333 0.7500
Ge 0.8680 0.1320 0.7500
```

Record 3
Compound: AcCeGd2
Source: the Alexandria database
Functional: PBE-GGA
Structure: relaxed Values from VASP.

The crystal system is tetragonal. As for the space group: P4/mmm. As for the formation enthalpy at 0 K: 85.7 meV/atom. For the density of states at the Fermi level, the calculation gives 1.99 states/eV per atom.

Geometry as Quantum ESPRESSO input:
```
&SYSTEM
  ibrav = 0, nat = 4, ntyp = 3
/
ATOMIC_SPECIES
Ac 227.00 Ac.upf
Ce 140.12 Ce.upf
Gd 157.25 Gd.upf
CELL_PARAMETERS angstrom
3.6605 0.0000 0.0000
0.0000 3.6605 0.0000
0.0000 0.0000 10.2874
ATOMIC_POSITIONS crystal
Ac 0.0000 0.0000 0.0000
Ce 0.0000 0.0000 0.5000
Gd 0.5000 0.5000 0.2721
Gd 0.5000 0.5000 0.7279
```

Record 4
Compound: LiGdHoAu
Source: the Alexandria database
Functional: PBE-GGA
Structure: relaxed Values from VASP.

The crystal system is cubic. As for the space group: F-43m. As for the formation enthalpy at 0 K: -397.3 meV/atom. For the density of states at the Fermi level, the calculation gives 0.77 states/eV per atom.

Geometry as Quantum ESPRESSO input:
```
&SYSTEM
  ibrav = 0, nat = 16, ntyp = 4
/
ATOMIC_SPECIES
Li 6.94 Li.upf
Gd 157.25 Gd.upf
Ho 164.93 Ho.upf
Au 196.97 Au.upf
CELL_PARAMETERS angstrom
7.2336 0.0000 0.0000
0.0000 7.2336 0.0000
0.0000 0.0000 7.2336
ATOMIC_POSITIONS crystal
Li 0.0000 0.0000 0.0000
Li 0.0000 0.5000 0.5000
Li 0.5000 0.0000 0.5000
Li 0.5000 0.5000 0.0000
Gd 0.2500 0.2500 0.7500
Gd 0.2500 0.7500 0.2500
Gd 0.7500 0.2500 0.2500
Gd 0.7500 0.7500 0.7500
Ho 0.2500 0.2500 0.2500
Ho 0.2500 0.7500 0.7500
Ho 0.7500 0.2500 0.7500
Ho 0.7500 0.7500 0.2500
Au 0.0000 0.0000 0.5000
Au 0.0000 0.5000 0.0000
Au 0.5000 0.0000 0.0000
Au 0.5000 0.5000 0.5000
```

Record 5
Compound: CrRhBr2
Source: the Alexandria database
Functional: PBE-GGA
Structure: relaxed Values from VASP.

The crystal system is monoclinic. The energy relative to the elements, uncorrected comes out at -0.280 eV per formula unit. As for the space group: Cm. For the density of states at the Fermi level, the calculation gives 0.42 states/eV per atom.

Geometry as Quantum ESPRESSO input:
```
&SYSTEM
  ibrav = 0, nat = 8, ntyp = 3
/
ATOMIC_SPECIES
Cr 52.00 Cr.upf
Rh 102.91 Rh.upf
Br 79.90 Br.upf
CELL_PARAMETERS angstrom
6.7366 0.0000 0.0000
0.0000 4.0766 0.0000
-0.8232 0.0000 7.2825
ATOMIC_POSITIONS crystal
Cr 0.0000 0.0000 0.0000
Cr 0.5000 0.5000 0.0000
Rh 0.1461 0.5000 0.8710
Rh 0.6461 0.0000 0.8710
Br 0.0385 0.5000 0.2090
Br 0.2715 0.0000 0.6856
Br 0.5385 0.0000 0.2090
Br 0.7715 0.5000 0.6856
```